A plane-wave DFT calculation with PBE was carried out for an optimized crystal structure of Cu2TeP.

Its formation energy from raw total energies is 0.602 eV per atom. The density of states at the Fermi level comes out at 6.93 states/eV/cell. The polymorph energy (0 for the lowest one) comes out at 546 meV per atom.

The structure belongs to space group F-43m (No. 216); the cell edges are 6.4869, 6.4869 and 6.4869 Å and the angles 90.00°, 90.00° and 90.00°. The inequivalent atoms are Cu at (0.0000, 0.0000, 0.0000), Cu at (0.2500, 0.2500, 0.2500), Te at (0.0000, 0.0000, 0.5000) and P at (0.2500, 0.2500, 0.7500).

=====

A plane-wave DFT calculation with PBE was carried out for an optimized crystal structure of CuTe3P.

Its formation energy from raw total energies is 0.767 eV per atom. The density of states at the Fermi level comes out at 4.69 states/eV/cell. The polymorph energy (0 for the lowest one) comes out at 11 meV per atom.

The structure belongs to space group Pm-3m (No. 221); the cell edges are 5.0510, 5.0510 and 5.0510 Å and the angles 90.00°, 90.00° and 90.00°. The inequivalent atoms are Cu at (0.0000, 0.0000, 0.0000), Te at (0.0000, 0.0000, 0.5000) and P at (0.5000, 0.5000, 0.5000).

=====

A plane-wave DFT calculation with PBE was carried out for an optimized crystal structure of Cu2TeP.

Its formation energy from raw total energies is 0.056 eV per atom. The density of states at the Fermi level comes out at 6.90 states/eV/cell. The polymorph energy (0 for the lowest one) comes out at 0 meV per atom.

The structure belongs to space group I-42d (No. 122); the cell edges are 4.6153, 4.6153 and 14.3555 Å and the angles 90.00°, 90.00° and 90.00°. The inequivalent atoms are Cu at (0.1566, 0.2500, 0.1250), Te at (0.0000, 0.0000, 0.5000) and P at (0.0000, 0.0000, 0.0000).

=====

A plane-wave DFT calculation with PBE was carried out for an optimized crystal structure of Cu2TeP.

Its formation energy from raw total energies is 0.496 eV per atom. The density of states at the Fermi level comes out at 8.21 states/eV/cell. The polymorph energy (0 for the lowest one) comes out at 440 meV per atom.

The structure belongs to space group Fm-3m (No. 225); the cell edges are 6.4669, 6.4669 and 6.4669 Å and the angles 90.00°, 90.00° and 90.00°. The inequivalent atoms are Cu at (0.2500, 0.2500, 0.2500), Te at (0.0000, 0.0000, 0.0000) and P at (0.0000, 0.0000, 0.5000).

=====

A plane-wave DFT calculation with PBE was carried out for an optimized crystal structure of Cu2TeP.

Its formation energy from raw total energies is 0.217 eV per atom. The density of states at the Fermi level comes out at 3.99 states/eV/cell. The polymorph energy (0 for the lowest one) comes out at 161 meV per atom.

The structure belongs to space group Imm2 (No. 44); the cell edges are 3.4233, 3.5642 and 11.4071 Å and the angles 90.00°, 90.00° and 90.00°. The inequivalent atoms are Cu at (0.0000, 0.0000, 0.0000), Cu at (0.0000, 0.5000, 0.1690), Te at (0.0000, 0.0000, 0.3689) and P at (0.0000, 0.5000, 0.6457).

=====

A plane-wave DFT calculation with PBE was carried out for an optimized crystal structure of CuTeP2.

Its formation energy from raw total energies is 0.312 eV per atom. The density of states at the Fermi level comes out at 5.23 states/eV/cell.

The structure belongs to space group I4/mmm (No. 139); the cell edges are 5.3465, 5.3465 and 5.1352 Å and the angles 90.00°, 90.00° and 90.00°. The inequivalent atoms are Cu at (0.0000, 0.0000, 0.0000), Te at (0.0000, 0.0000, 0.5000) and P at (0.0000, 0.5000, 0.0000).

=====

A plane-wave DFT calculation with PBE was carried out for an optimized crystal structure of CuTeP2.

Its formation energy from raw total energies is 0.080 eV per atom. The density of states at the Fermi level comes out at 3.14 states/eV/cell.

The structure belongs to space group C2/m (No. 12); the cell edges are 10.9023, 3.3749 and 4.5965 Å and the angles 90.00°, 110.87° and 90.00°. The inequivalent atoms are Cu at (0.0000, 0.0000, 0.0000), Te at (0.0000, 0.5000, 0.5000) and P at (0.2310, 0.0000, 0.1379).

=====

A plane-wave DFT calculation with PBE was carried out for an optimized crystal structure of Cu3TeP.

Its formation energy from raw total energies is 0.264 eV per atom. The density of states at the Fermi level comes out at 3.79 states/eV/cell. The polymorph energy (0 for the lowest one) comes out at 0 meV per atom.

The structure belongs to space group Pm-3m (No. 221); the cell edges are 4.4823, 4.4823 and 4.4823 Å and the angles 90.00°, 90.00° and 90.00°. The inequivalent atoms are Cu at (0.0000, 0.0000, 0.5000), Te at (0.5000, 0.5000, 0.5000) and P at (0.0000, 0.0000, 0.0000).

=====

A plane-wave DFT calculation with PBE was carried out for an optimized crystal structure of Cu2TeP.

Its formation energy from raw total energies is 0.178 eV per atom. The density of states at the Fermi level comes out at 1.68 states/eV/cell. The polymorph energy (0 for the lowest one) comes out at 121 meV per atom.

The structure belongs to space group Pmm2 (No. 25); the cell edges are 2.9753, 3.4558 and 7.4571 Å and the angles 90.00°, 90.00° and 90.00°. The inequivalent atoms are Cu at (0.0000, 0.0000, 0.0000), Cu at (0.5000, 0.5000, 0.1933), Te at (0.5000, 0.5000, 0.7709) and P at (0.0000, 0.0000, 0.3120).

=====

A plane-wave DFT calculation with PBE was carried out for an optimized crystal structure of CuTeP2.

Its formation energy from raw total energies is 0.718 eV per atom. The density of states at the Fermi level comes out at 2.46 states/eV/cell.

The structure belongs to space group P4/mmm (No. 123); the cell edges are 4.6324, 4.6324 and 3.2765 Å and the angles 90.00°, 90.00° and 90.00°. The inequivalent atoms are Cu at (0.0000, 0.0000, 0.0000), Te at (0.5000, 0.5000, 0.0000) and P at (0.0000, 0.5000, 0.5000).

=====

A plane-wave DFT calculation with PBE was carried out for an optimized crystal structure of Cu2TeP.

Its formation energy from raw total energies is 0.363 eV per atom. The density of states at the Fermi level comes out at 4.00 states/eV/cell. The polymorph energy (0 for the lowest one) comes out at 307 meV per atom.

The structure belongs to space group Cmmm (No. 65); the cell edges are 3.8850, 5.0262 and 7.1789 Å and the angles 90.00°, 90.00° and 90.00°. The inequivalent atoms are Cu at (0.0000, 0.0000, 0.1876), Te at (0.0000, 0.5000, 0.5000) and P at (0.0000, 0.5000, 0.0000).

=====

A plane-wave DFT calculation with PBE was carried out for an optimized crystal structure of CuTeP2.

Its formation energy from raw total energies is 0.591 eV per atom. The density of states at the Fermi level comes out at 1.91 states/eV/cell.

The structure belongs to space group P4/mmm (No. 123); the cell edges are 3.5373, 3.5373 and 6.8002 Å and the angles 90.00°, 90.00° and 90.00°. The inequivalent atoms are Cu at (0.0000, 0.0000, 0.0000), Te at (0.5000, 0.5000, 0.0000) and P at (0.0000, 0.5000, 0.5000).

=====

A plane-wave DFT calculation with PBE was carried out for an optimized crystal structure of CuTeP2.

Its formation energy from raw total energies is 0.150 eV per atom. The density of states at the Fermi level comes out at 1.94 states/eV/cell.

The structure belongs to space group P2/m (No. 10); the cell edges are 4.4434, 3.7049 and 4.7726 Å and the angles 90.00°, 104.79° and 90.00°. The inequivalent atoms are Cu at (0.0000, 0.0000, 0.0000), Te at (0.5000, 0.0000, 0.5000) and P at (0.2737, 0.5000, 0.8385).

=====

A plane-wave DFT calculation with PBE was carried out for an optimized crystal structure of Cu3Te4P.

Its formation energy from raw total energies is 0.087 eV per atom. The density of states at the Fermi level comes out at 4.97 states/eV/cell.

The structure belongs to space group P-43m (No. 215); the cell edges are 5.7544, 5.7544 and 5.7544 Å and the angles 90.00°, 90.00° and 90.00°. The inequivalent atoms are Cu at (0.0000, 0.0000, 0.5000), Te at (0.2816, 0.2816, 0.2816) and P at (0.0000, 0.0000, 0.0000).

=====

A plane-wave DFT calculation with PBE was carried out for an optimized crystal structure of CuTeP2.

Its formation energy from raw total energies is 0.318 eV per atom. The density of states at the Fermi level comes out at 13.03 states/eV/cell.

The structure belongs to space group I-42d (No. 122); the cell edges are 5.7061, 5.7061 and 11.2456 Å and the angles 90.00°, 90.00° and 90.00°. The inequivalent atoms are Cu at (0.0000, 0.0000, 0.0000), Te at (0.0000, 0.0000, 0.5000) and P at (0.1834, 0.2500, 0.1250).

=====

A plane-wave DFT calculation with PBE was carried out for an optimized crystal structure of CuTeP2.

Its formation energy from raw total energies is 0.411 eV per atom. The density of states at the Fermi level comes out at 1.08 states/eV/cell.

The structure belongs to space group P4/mmm (No. 123); the cell edges are 3.3390, 3.3390 and 6.8209 Å and the angles 90.00°, 90.00° and 90.00°. The inequivalent atoms are Cu at (0.0000, 0.0000, 0.0000), Te at (0.0000, 0.0000, 0.5000) and P at (0.5000, 0.5000, 0.1538).

=====

A plane-wave DFT calculation with PBE was carried out for an optimized crystal structure of Cu2TeP.

Its formation energy from raw total energies is 0.366 eV per atom. The density of states at the Fermi level comes out at 1.51 states/eV/cell. The polymorph energy (0 for the lowest one) comes out at 310 meV per atom.

The structure belongs to space group P4/mmm (No. 123); the cell edges are 3.0983, 3.0983 and 7.3221 Å and the angles 90.00°, 90.00° and 90.00°. The inequivalent atoms are Cu at (0.0000, 0.0000, 0.1754), Te at (0.5000, 0.5000, 0.5000) and P at (0.5000, 0.5000, 0.0000).

=====

A plane-wave DFT calculation with PBE was carried out for an optimized crystal structure of ZnCuTeP2.

Its formation energy from raw total energies is 1.137 eV per atom. The density of states at the Fermi level comes out at 6.74 states/eV/cell.

The structure belongs to space group P4/mmm (No. 123); the cell edges are 5.2079, 5.2079 and 4.7396 Å and the angles 90.00°, 90.00° and 90.00°. The inequivalent atoms are Zn at (0.0000, 0.0000, 0.0000), Cu at (0.5000, 0.5000, 0.0000), Te at (0.5000, 0.5000, 0.5000) and P at (0.0000, 0.5000, 0.5000).

=====

A plane-wave DFT calculation with PBE was carried out for an optimized crystal structure of ThCu3P2.

The density of states at the Fermi level comes out at 5.81 states/eV/cell. The value obtained for the energy of formation from the pure elements is -556 meV per atom.

The structure belongs to space group C2/m (No. 12); the cell edges are 14.5038, 3.8547 and 7.5226 Å and the angles 90.00°, 114.96° and 90.00°. The inequivalent atoms are Th at (0.1377, 0.0000, 0.0495), Cu at (0.0589, 0.0000, 0.4062), Cu at (0.0988, 0.5000, 0.6702), Cu at (0.1902, 0.5000, 0.4444), P at (0.0222, 0.5000, 0.2044) and P at (0.2027, 0.0000, 0.7161).

=====

A plane-wave DFT calculation with PBE was carried out for an optimized crystal structure of ThCu4P2.

The density of states at the Fermi level comes out at 4.32 states/eV/cell. The value obtained for the energy of formation from the pure elements is -496 meV per atom.

The structure belongs to space group P4_2/mnm (No. 136); the cell edges are 7.3652, 7.3652 and 3.8898 Å and the angles 90.00°, 90.00° and 90.00°. The inequivalent atoms are Th at (0.0000, 0.0000, 0.0000), Cu at (0.0835, 0.3399, 0.5000) and P at (0.2141, 0.7859, 0.5000).